Entry 1:
Density functional theory data (GGA-PBE) for crystalline BaMg2SiP4 at its relaxed geometry.

Lattice parameters (Å, degrees): 8.432 7.069 6.930 90.00 90.00 90.00
Atoms (fractional coordinates):
1 Ba 0.000 0.213 0.000
2 Ba 0.500 0.787 0.500
3 Mg 0.244 0.306 0.533
4 Mg 0.256 0.694 0.033
5 Mg 0.744 0.694 0.033
6 Mg 0.756 0.306 0.533
7 Si 0.000 0.817 0.562
8 Si 0.500 0.183 0.062
9 P 0.000 0.115 0.473
10 P 0.000 0.761 0.873
11 P 0.135 0.610 0.370
12 P 0.365 0.390 0.870
13 P 0.500 0.239 0.373
14 P 0.500 0.885 0.973
15 P 0.635 0.390 0.870
16 P 0.865 0.610 0.370

Results
- Uncorrected formation energy: -516 meV/atom
- Electronic total energy: -4.538 eV per atom
- Space group: Pmn2_1
- Spin magnetization: 0.00 μB/f.u.

Entry 2:
Density functional theory data (GGA-PBE) for crystalline CaEr2Au at its relaxed geometry.

Lattice parameters (Å, degrees): 10.183 10.183 10.183 21.78 21.78 21.78
Atoms (fractional coordinates):
1 Ca 0.000 0.000 0.000
2 Er 0.561 0.561 0.561
3 Er 0.769 0.769 0.769
4 Au 0.165 0.165 0.165

Results
- Electronic total energy: -3.872 eV per atom
- Distance to the lowest polymorph of the same formula: 88 meV/atom
- Space group: R3m
- Spin magnetization: 0.00 μB/f.u.

Entry 3:
Density functional theory data (GGA-PBE) for crystalline Sm2P2Rh5 at its relaxed geometry.

Lattice parameters (Å, degrees): 4.040 4.040 10.909 90.00 90.00 90.00
Atoms (fractional coordinates):
1 Sm 0.000 0.000 0.000
2 Sm 0.000 0.000 0.500
3 P 0.500 0.500 0.208
4 P 0.500 0.500 0.792
5 Rh 0.000 0.500 0.300
6 Rh 0.000 0.500 0.700
7 Rh 0.500 0.000 0.300
8 Rh 0.500 0.000 0.700
9 Rh 0.500 0.500 0.000

Results
- Electronic total energy: -7.072 eV per atom
- Distance to the lowest polymorph of the same formula: 211 meV/atom
- Space group: P4/mmm
- Spin magnetization: 0.00 μB/f.u.

Entry 4:
Density functional theory data (GGA-PBE) for crystalline CsSbH2 at its relaxed geometry.

Lattice parameters (Å, degrees): 5.194 3.310 6.554 90.00 112.74 90.00
Atoms (fractional coordinates):
1 Cs 0.000 0.000 0.000
2 Sb 0.297 0.500 0.582
3 H 0.544 0.500 0.093
4 H 0.599 0.500 0.221

Results
- Electronic total energy: -2.911 eV per atom
- Distance to the lowest polymorph of the same formula: 144 meV/atom
- Space group: Pm
- Spin magnetization: 0.00 μB/f.u.

Entry 5:
Density functional theory data (GGA-PBE) for crystalline ZrTi3Sb at its relaxed geometry.

Lattice parameters (Å, degrees): 4.849 4.849 4.849 90.00 90.00 90.00
Atoms (fractional coordinates):
1 Zr 0.000 0.000 0.000
2 Ti 0.000 0.000 0.500
3 Ti 0.000 0.500 0.000
4 Ti 0.500 0.000 0.000
5 Sb 0.500 0.500 0.500

Results
- Uncorrected formation energy: 967 meV/atom
- Electronic total energy: -6.304 eV per atom
- Distance to the lowest polymorph of the same formula: 1173 meV/atom
- Space group: Pm-3m
- Spin magnetization: 1.45 μB/f.u.

Entry 6:
Density functional theory data (GGA-PBE) for crystalline Y4Cd5Pd2 at its relaxed geometry.

Lattice parameters (Å, degrees): 7.677 3.586 9.780 90.00 93.73 90.00
Atoms (fractional coordinates):
1 Y 0.167 0.000 0.358
2 Y 0.234 0.000 0.946
3 Y 0.766 0.000 0.054
4 Y 0.833 0.000 0.642
5 Cd 0.189 0.500 0.652
6 Cd 0.450 0.500 0.186
7 Cd 0.500 0.500 0.500
8 Cd 0.550 0.500 0.814
9 Cd 0.811 0.500 0.348
10 Pd 0.067 0.500 0.139
11 Pd 0.933 0.500 0.861

Results
- Electronic total energy: -4.220 eV per atom
- Space group: P2/m
- Spin magnetization: 0.00 μB/f.u.

Entry 7:
Density functional theory data (GGA-PBE) for crystalline LaMnAs at its relaxed geometry.

Lattice parameters (Å, degrees): 5.973 5.973 5.973 146.53 146.53 48.06
Atoms (fractional coordinates):
1 La 0.000 0.000 0.000
2 Mn 0.297 0.297 0.000
3 As 0.714 0.714 0.000

Results
- Electronic total energy: -6.563 eV per atom
- Space group: I4mm
- Spin magnetization: 2.91 μB/f.u.

Entry 8:
Density functional theory data (GGA-PBE) for crystalline Er2ThSe3 at its relaxed geometry.

Lattice parameters (Å, degrees): 7.213 7.213 7.213 147.85 132.44 58.57
Atoms (fractional coordinates):
1 Er 0.160 0.160 0.000
2 Er 0.840 0.840 0.000
3 Th 0.500 0.500 0.000
4 Se 0.000 0.500 0.500
5 Se 0.322 0.822 0.500
6 Se 0.678 0.178 0.500

Results
- Uncorrected formation energy: -1616 meV/atom
- Electronic total energy: -6.116 eV per atom
- Space group: Immm
- Spin magnetization: 0.00 μB/f.u.